Material: ZnCuPb2
Method: DFT, PBE
State: optimized geometry

```
ZnCuPb2
1.0
4.669 -1.370 -1.364
1.201 -4.897 -0.331
0.795 -2.106 -4.524
Pb Cu Zn
2 1 1
direct
0.750 0.750 0.750 Pb
0.250 0.250 0.250 Pb
0.000 0.000 0.000 Cu
0.500 0.500 0.500 Zn
```

* energy of formation from the pure elements: 252 meV per atom
* space group: Fm-3m (225)
* energy above the lowest structure with this stoichiometry: 157 meV/atom

---

Material: Zn2CuPb
Method: DFT, PBE
State: optimized geometry

```
Zn2CuPb
1.0
-6.947 3.105 0.365
-1.556 -4.205 6.159
-3.263 1.469 4.890
Zn Pb Cu
4 2 2
direct
0.573 0.125 0.250 Zn
0.875 0.823 0.750 Zn
0.177 0.625 0.250 Zn
0.375 0.427 0.750 Zn
0.000 0.000 0.000 Pb
0.750 0.250 0.500 Pb
0.250 0.750 0.500 Cu
0.500 0.500 0.000 Cu
```

* energy of formation from the pure elements: 253 meV per atom
* space group: I-42d (122)
* energy above the lowest structure with this stoichiometry: 156 meV/atom

---

Material: ZnCu2Pb
Method: DFT, PBE
State: optimized geometry

```
ZnCu2Pb
1.0
-0.885 0.382 -3.662
0.220 -3.352 -0.403
-5.361 -2.926 0.991
Pb Cu Zn
1 2 1
direct
0.000 0.383 0.455 Pb
0.500 0.062 0.223 Cu
0.000 0.259 0.935 Cu
0.500 0.795 0.887 Zn
```

* energy of formation from the pure elements: 176 meV per atom
* space group: Pm (6)
* energy above the lowest structure with this stoichiometry: 24 meV/atom

---

Material: ZnCu2Pb
Method: DFT, PBE
State: optimized geometry

```
ZnCu2Pb
1.0
-3.671 -0.364 1.850
-0.847 -3.292 -2.340
1.592 -2.365 2.725
Zn Pb Cu
1 1 2
direct
0.000 0.500 0.500 Zn
0.500 0.000 0.500 Pb
0.500 0.500 0.000 Cu
0.000 0.000 0.000 Cu
```

* energy of formation from the pure elements: 259 meV per atom
* space group: C2/m (12)
* energy above the lowest structure with this stoichiometry: 107 meV/atom

---

Material: ZnCu2Pb
Method: DFT, PBE
State: optimized geometry

```
ZnCu2Pb
1.0
0.911 -5.024 3.888
5.169 -3.451 1.601
-3.184 5.543 -0.569
Cu Zn Pb
2 1 1
direct
0.756 0.256 0.500 Cu
0.922 0.922 0.000 Cu
0.278 0.778 0.500 Zn
0.543 0.543 0.000 Pb
```

* energy of formation from the pure elements: 179 meV per atom
* space group: Imm2 (44)
* energy above the lowest structure with this stoichiometry: 27 meV/atom

---

Material: Zn2CuPb
Method: DFT, PBE
State: optimized geometry

```
Zn2CuPb
1.0
-0.706 3.445 3.869
0.661 -2.169 4.711
2.861 0.040 -4.376
Cu Zn Pb
1 2 1
direct
0.250 0.750 0.500 Cu
0.000 0.000 0.000 Zn
0.500 0.500 0.000 Zn
0.750 0.250 0.500 Pb
```

* energy of formation from the pure elements: 242 meV per atom
* space group: I4/mmm (139)
* energy above the lowest structure with this stoichiometry: 145 meV/atom